No. 1
Density functional theory data (PBE) for CeErFe after structural relaxation.

Cell lengths 3.6786, 5.9844, 12.8550 Å; angles 90.00, 90.00, 90.00 degrees
Fractional coordinates of all 12 atoms:
Ce 0.7500 0.6240 0.3514
Ce 0.7500 0.1240 0.1486
Ce 0.2500 0.8760 0.8514
Ce 0.2500 0.3760 0.6486
Er 0.7500 0.8695 0.5974
Er 0.7500 0.3695 0.9026
Er 0.2500 0.6305 0.0974
Er 0.2500 0.1305 0.4026
Fe 0.2500 0.6430 0.4630
Fe 0.7500 0.3570 0.5370
Fe 0.7500 0.8570 0.9630
Fe 0.2500 0.1430 0.0370

Values from the calculation:
As for the energy of formation: -0.09 eV/atom. The crystal system is orthorhombic. The value obtained for the excess energy over the best structure of this formula in the dataset is 0 meV/atom. Its total energy is -6.4132 eV/atom. For the size of the total moment, the calculation gives 0.00 μB per formula unit.

No. 2
Density functional theory data (PBE) for CeEr2Ga3 after structural relaxation.

Cell lengths 5.0464, 5.0464, 12.4449 Å; angles 90.00, 90.00, 120.00 degrees
Fractional coordinates of all 12 atoms:
Ce 0.3333 0.6667 0.6643
Ce 0.6667 0.3333 0.3357
Er 0.0000 0.0000 0.5000
Er 0.3333 0.6667 0.1629
Er 0.6667 0.3333 0.8371
Er 0.0000 0.0000 0.0000
Ga 0.3333 0.6667 0.4143
Ga 0.6667 0.3333 0.0818
Ga 0.0000 0.0000 0.7542
Ga 0.0000 0.0000 0.2458
Ga 0.3333 0.6667 0.9182
Ga 0.6667 0.3333 0.5857

Values from the calculation:
As for the energy of formation: -0.54 eV/atom. The crystal system is trigonal. Its total energy is -4.5654 eV/atom. For the size of the total moment, the calculation gives 0.70 μB per formula unit.

No. 3
Density functional theory data (PBE) for CeEr2Ga after structural relaxation.

Cell lengths 4.5279, 4.7336, 4.7336 Å; angles 90.00, 90.00, 90.00 degrees
Fractional coordinates of all 4 atoms:
Ga 0.5000 0.0000 0.0000
Ce 0.5000 0.5000 0.5000
Er 0.0000 0.0000 0.5000
Er 0.0000 0.5000 0.0000

Values from the calculation:
As for the energy of formation: -0.21 eV/atom. The crystal system is tetragonal. The value obtained for the excess energy over the best structure of this formula in the dataset is 41 meV/atom. Its total energy is -4.7314 eV/atom. For the size of the total moment, the calculation gives 0.03 μB per formula unit.

No. 4
Density functional theory data (PBE) for CeEr4Ga4 after structural relaxation.

Cell lengths 5.8451, 9.1712, 9.1712 Å; angles 90.00, 90.00, 90.00 degrees
Fractional coordinates of all 18 atoms:
Ce 0.0000 0.0000 0.0000
Ce 0.5000 0.5000 0.5000
Er 0.1194 0.4043 0.8288
Er 0.6194 0.6712 0.9043
Er 0.1194 0.5957 0.1712
Er 0.3806 0.0957 0.6712
Er 0.8806 0.8288 0.5957
Er 0.3806 0.9043 0.3288
Er 0.6194 0.3288 0.0957
Er 0.8806 0.1712 0.4043
Ga 0.8762 0.8612 0.2794
Ga 0.8762 0.1388 0.7206
Ga 0.3762 0.7794 0.6388
Ga 0.6238 0.3612 0.7794
Ga 0.6238 0.6388 0.2206
Ga 0.1238 0.2794 0.1388
Ga 0.1238 0.7206 0.8612
Ga 0.3762 0.2206 0.3612

Values from the calculation:
As for the energy of formation: -0.30 eV/atom. The crystal system is tetragonal. Its total energy is -4.3337 eV/atom. For the size of the total moment, the calculation gives 0.93 μB per formula unit.

No. 5
Density functional theory data (PBE) for Ce2ErGa6 after structural relaxation.

Cell lengths 4.4304, 7.7428, 7.7428 Å; angles 54.06, 73.38, 73.38 degrees
Fractional coordinates of all 9 atoms:
Ce 0.3938 0.1062 0.1062
Ce 0.6062 0.8938 0.8938
Er 0.5000 0.5000 0.5000
Ga 0.1910 0.5024 0.1157
Ga 0.8090 0.4976 0.8843
Ga 0.8090 0.8843 0.4976
Ga 0.0000 0.2141 0.7859
Ga 0.0000 0.7859 0.2141
Ga 0.1910 0.1157 0.5024

Values from the calculation:
As for the energy of formation: -0.39 eV/atom. The crystal system is orthorhombic. The value obtained for the excess energy over the best structure of this formula in the dataset is 206 meV/atom. Its total energy is -4.2299 eV/atom. For the size of the total moment, the calculation gives 0.25 μB per formula unit.

No. 6
Density functional theory data (PBE) for Ce2ErGa6 after structural relaxation.

Cell lengths 4.1375, 7.3691, 7.3692 Å; angles 120.00, 90.00, 90.00 degrees
Fractional coordinates of all 9 atoms:
Ce 0.0000 0.3333 0.6667
Ce 0.0000 0.6667 0.3333
Er 0.0000 0.0000 0.0000
Ga 0.5000 0.3322 0.3322
Ga 0.5000 0.6678 0.6678
Ga 0.5000 0.0000 0.6678
Ga 0.5000 0.6678 0.0000
Ga 0.5000 0.3322 0.0000
Ga 0.5000 0.0000 0.3322

Values from the calculation:
As for the energy of formation: -0.59 eV/atom. The crystal system is hexagonal. The value obtained for the excess energy over the best structure of this formula in the dataset is 0 meV/atom. Its total energy is -4.4363 eV/atom. For the size of the total moment, the calculation gives 1.14 μB per formula unit.

- The lowest energy of formation belongs to which entry?
  number 6